# 1
DFT (PBE) results for an optimized crystal structure of CaAcO2.

Unit cell a=3.5044 b=3.5044 c=19.2366 alpha=90.00 beta=90.00 gamma=120.00
Closest atoms and distances in Å follow each position.
Element x y z (fractional)
Ca 0.0000 0.0000 0.0000  6 O 2.43-2.56
Ca 0.3333 0.6667 0.6667  6 O 2.43-2.56
Ca 0.6667 0.3333 0.3333  6 O 2.43-2.56
Ac 0.0000 0.0000 0.1721  6 O 2.67-2.68
Ac 0.3333 0.6667 0.8387  6 O 2.67-2.68
Ac 0.6667 0.3333 0.5054  6 O 2.67-2.68
O 0.0000 0.0000 0.5965  3 Ca 2.43, 3 Ac 2.68
O 0.0000 0.0000 0.7484  3 Ca 2.56, 3 Ac 2.67
O 0.3333 0.6667 0.2632  3 Ca 2.43, 3 Ac 2.68
O 0.3333 0.6667 0.4150  3 Ca 2.56, 3 Ac 2.67
O 0.6667 0.3333 0.0817  3 Ca 2.56, 3 Ac 2.67
O 0.6667 0.3333 0.9299  3 Ca 2.43, 3 Ac 2.68

# 2
DFT (PBE) results for an optimized crystal structure of Ca2AcO.

Unit cell a=3.6445 b=3.6445 c=29.0618 alpha=90.00 beta=90.00 gamma=120.00
Closest atoms and distances in Å follow each position.
Element x y z (fractional)
Ca 0.0000 0.0000 0.2142  3 O 2.52
Ca 0.0000 0.0000 0.7858  3 O 2.52
Ca 0.3333 0.6667 0.4524  3 O 2.52
Ca 0.3333 0.6667 0.8809  3 O 2.52
Ca 0.6667 0.3333 0.1191  3 O 2.52
Ca 0.6667 0.3333 0.5476  3 O 2.52
Ac 0.0000 0.0000 0.0000  6 Ac 3.64, 6 Ca 4.05
Ac 0.3333 0.6667 0.6667  6 Ac 3.64, 6 Ca 4.05
Ac 0.6667 0.3333 0.3333  6 Ac 3.64, 6 Ca 4.05
O 0.0000 0.0000 0.5000  6 Ca 2.52
O 0.3333 0.6667 0.1667  6 Ca 2.52
O 0.6667 0.3333 0.8333  6 Ca 2.52

# 3
DFT (PBE) results for an optimized crystal structure of CaAcO2.

Unit cell a=3.5762 b=3.5762 c=18.2298 alpha=90.00 beta=90.00 gamma=120.00
Closest atoms and distances in Å follow each position.
Element x y z (fractional)
Ca 0.0000 0.0000 0.0000  6 O 2.46
Ca 0.3333 0.6667 0.6667  6 O 2.46
Ca 0.6667 0.3333 0.3333  6 O 2.46
Ac 0.0000 0.0000 0.5000  6 O 2.67
Ac 0.3333 0.6667 0.1667  6 O 2.67
Ac 0.6667 0.3333 0.8333  6 O 2.67
O 0.0000 0.0000 0.2596  3 Ca 2.46, 3 Ac 2.67
O 0.0000 0.0000 0.7404  3 Ca 2.46, 3 Ac 2.67
O 0.3333 0.6667 0.4071  3 Ca 2.46, 3 Ac 2.67
O 0.3333 0.6667 0.9262  3 Ca 2.46, 3 Ac 2.67
O 0.6667 0.3333 0.0738  3 Ca 2.46, 3 Ac 2.67
O 0.6667 0.3333 0.5929  3 Ca 2.46, 3 Ac 2.67

| no. | raw formation energy (meV/atom) | total magnetization (μB/cell) |
| --- | --- | --- |
| 1 | -2516.9 | 0.00 |
| 2 | -1297.0 | 0.70 |
| 3 | -2685.1 | 0.00 |